A PBEsol-optimized structure of CaRe2As, computed with meta-GGA SCAN.

Geometry as extended XYZ:
```
4
Lattice="2.755 -5.237 0.000 2.755 5.237 0.000 -1.319 0.000 2.360" Properties=species:S:1:pos:R:3 pbc="T T T"
Ca 0.000 0.000 0.000
Re 0.718 2.619 1.180
Re 0.718 -2.619 1.180
As 2.755 0.000 0.000
```

Calculated formation energy   0.530 eV per atom
Theoretical density   11880 kg/m3
Uncorrected energy   -42.48 eV per atom

***

A PBEsol-optimized structure of HgPtRh, computed with meta-GGA SCAN.

Geometry as extended XYZ:
```
3
Lattice="0.000 3.055 3.055 3.055 0.000 3.055 3.055 3.055 0.000" Properties=species:S:1:pos:R:3 pbc="T T T"
Hg 0.000 0.000 0.000
Pt 4.583 4.583 4.583
Rh 1.528 1.528 1.528
```

Calculated formation energy   0.728 eV per atom
Theoretical density   14517 kg/m3
Uncorrected energy   -56.65 eV per atom

***

A PBEsol-optimized structure of LaTiCdBr2, computed with meta-GGA SCAN.

Geometry as extended XYZ:
```
5
Lattice="5.280 0.000 0.000 0.000 5.280 0.000 0.000 0.000 6.170" Properties=species:S:1:pos:R:3 pbc="T T T"
La 0.000 0.000 0.000
Ti 2.640 2.640 0.000
Cd 0.000 0.000 3.085
Br 0.000 2.640 3.085
Br 2.640 0.000 3.085
```

Energy relative to the elements, uncorrected   1.834 eV per formula unit
Theoretical density   4431 kg/m3
Uncorrected energy   -25.33 eV per atom

***

A PBEsol-optimized structure of SrCoSbTe2, computed with meta-GGA SCAN.

Geometry as extended XYZ:
```
5
Lattice="5.910 0.000 0.000 0.000 5.910 0.000 0.000 0.000 5.867" Properties=species:S:1:pos:R:3 pbc="T T T"
Sr 0.000 0.000 0.000
Co 2.955 2.955 2.934
Sb 0.000 0.000 2.934
Te 0.000 2.955 0.000
Te 2.955 0.000 0.000
```

Energy relative to the elements, uncorrected   5.375 eV per formula unit
ΔE to the lowest computed polymorph   1452 meV/atom
Theoretical density   4243 kg/m3
Uncorrected energy   -29.19 eV per atom

***

A PBEsol-optimized structure of Li3Ag, computed with meta-GGA SCAN.

Geometry as extended XYZ:
```
4
Lattice="4.014 0.000 0.000 0.000 4.014 0.000 0.000 0.000 4.014" Properties=species:S:1:pos:R:3 pbc="T T T"
Li 0.000 0.000 2.007
Li 0.000 2.007 0.000
Li 2.007 0.000 0.000
Ag 2.007 2.007 2.007
```

ΔE to the lowest computed polymorph   26 meV/atom
Calculated formation energy   -0.138 eV per atom
Theoretical density   3303 kg/m3
Uncorrected energy   -9.77 eV per atom

***

A PBEsol-optimized structure of Y2Al, computed with meta-GGA SCAN.

Geometry as extended XYZ:
```
3
Lattice="-1.706 1.706 6.642 1.706 -1.706 6.642 1.706 1.706 -6.642" Properties=species:S:1:pos:R:3 pbc="T T T"
Y 0.000 0.000 1.971
Y 0.000 0.000 11.313
Al 0.000 0.000 6.642
```

Calculated formation energy   -0.290 eV per atom
Theoretical density   4400 kg/m3
Uncorrected energy   -21.44 eV per atom

***

A PBEsol-optimized structure of Sr2FeNiSn, computed with meta-GGA SCAN.

Geometry as extended XYZ:
```
5
Lattice="6.108 0.000 0.000 0.000 6.108 0.000 0.000 0.000 4.763" Properties=species:S:1:pos:R:3 pbc="T T T"
Sr 0.000 3.054 0.000
Sr 3.054 0.000 0.000
Fe 0.000 0.000 2.381
Ni 3.054 3.054 2.381
Sn 0.000 0.000 0.000
```

Calculated formation energy   0.620 eV per atom
Theoretical density   3817 kg/m3
Uncorrected energy   -22.34 eV per atom

***

A PBEsol-optimized structure of Zr2HgPb, computed with meta-GGA SCAN.

Geometry as extended XYZ:
```
4
Lattice="-2.246 2.246 4.256 2.246 -2.246 4.256 2.246 2.246 -4.256" Properties=species:S:1:pos:R:3 pbc="T T T"
Zr 2.246 0.000 2.128
Zr 0.000 2.246 2.128
Hg 0.000 0.000 0.000
Pb 0.000 0.000 4.256
```

ΔE to the lowest computed polymorph   0 meV/atom
Calculated formation energy   -0.381 eV per atom
Theoretical density   11415 kg/m3
Uncorrected energy   -51.72 eV per atom

***

A PBEsol-optimized structure of MgCu2AsC, computed with meta-GGA SCAN.

Geometry as extended XYZ:
```
5
Lattice="3.796 0.000 0.000 0.000 3.796 0.000 0.000 0.000 4.913" Properties=species:S:1:pos:R:3 pbc="T T T"
Mg 0.000 0.000 0.000
Cu 0.000 1.898 2.457
Cu 1.898 0.000 2.457
As 1.898 1.898 0.000
C 1.898 1.898 2.457
```

Calculated formation energy   0.445 eV per atom
Theoretical density   5591 kg/m3
Uncorrected energy   -12.69 eV per atom

***

A PBEsol-optimized structure of CaZnTc2, computed with meta-GGA SCAN.

Geometry as extended XYZ:
```
4
Lattice="0.000 3.164 3.164 3.164 0.000 3.164 3.164 3.164 0.000" Properties=species:S:1:pos:R:3 pbc="T T T"
Ca 0.000 0.000 0.000
Zn 1.582 1.582 1.582
Tc 3.164 3.164 3.164
Tc 4.747 4.747 4.747
```

Calculated formation energy   0.289 eV per atom
Theoretical density   7899 kg/m3
Uncorrected energy   -23.04 eV per atom

***

A PBEsol-optimized structure of TiNbAuO2, computed with meta-GGA SCAN.

Geometry as extended XYZ:
```
5
Lattice="3.887 0.000 0.000 0.000 3.887 0.000 0.000 0.000 5.484" Properties=species:S:1:pos:R:3 pbc="T T T"
Ti 0.000 0.000 0.000
Nb 1.943 1.943 2.742
Au 1.943 1.943 0.000
O 0.000 1.943 2.742
O 1.943 0.000 2.742
```

Energy relative to the elements, uncorrected   -5.906 eV per formula unit
Theoretical density   7412 kg/m3
Uncorrected energy   -27.34 eV per atom

***

A PBEsol-optimized structure of SrNdAl3O7, computed with meta-GGA SCAN.

Geometry as extended XYZ:
```
24
Lattice="5.543 -5.547 0.000 5.543 5.547 0.000 0.000 0.000 5.169" Properties=species:S:1:pos:R:3 pbc="T T T"
Sr 5.543 3.762 0.000
Sr 5.543 -3.762 0.000
Nd 3.759 0.000 0.113
Nd 7.328 0.000 0.113
Al 2.772 2.773 2.628
Al 1.615 0.000 2.436
Al 5.543 1.574 2.837
Al 2.772 -2.773 2.628
Al 5.543 -1.574 2.837
Al 9.472 0.000 2.436
O 0.000 0.000 1.791
O 2.404 1.367 1.610
O 1.693 0.000 4.168
O 4.145 2.309 3.625
O 2.404 -1.367 1.610
O 5.543 1.447 1.096
O 6.942 2.309 3.625
O 5.543 0.000 3.634
O 4.145 -2.309 3.625
O 5.543 -1.447 1.096
O 8.683 1.367 1.610
O 6.942 -2.309 3.625
O 9.394 0.000 4.168
O 8.683 -1.367 1.610
```

Energy relative to the elements, uncorrected   -41.680 eV per formula unit
Theoretical density   4438 kg/m3
Uncorrected energy   -14.53 eV per atom

***

A PBEsol-optimized structure of ScZnSi2, computed with meta-GGA SCAN.

Geometry as extended XYZ:
```
4
Lattice="1.489 0.860 8.457 -1.489 0.860 8.457 0.000 -1.719 8.457" Properties=species:S:1:pos:R:3 pbc="T T T"
Sc 0.000 0.000 0.000
Zn 0.000 0.000 12.686
Si 0.000 0.000 6.238
Si 0.000 0.000 19.133
```

Energy relative to the elements, uncorrected   0.311 eV per formula unit
Theoretical density   4259 kg/m3
Uncorrected energy   -11.87 eV per atom

***

A PBEsol-optimized structure of Rb9Co2S7, computed with meta-GGA SCAN.

Geometry as extended XYZ:
```
72
Lattice="12.921 0.000 0.000 0.000 12.921 0.000 0.000 0.000 12.921" Properties=species:S:1:pos:R:3 pbc="T T T"
Rb 0.153 6.308 6.613
Rb 0.543 9.108 0.982
Rb 0.626 9.693 7.516
Rb 0.982 0.543 9.108
Rb 1.056 5.834 3.228
Rb 2.163 2.163 2.163
Rb 2.506 3.955 8.966
Rb 2.648 5.478 12.378
Rb 3.228 1.056 5.834
Rb 3.232 11.865 12.294
Rb 3.813 7.443 5.917
Rb 3.955 8.966 2.506
Rb 4.297 10.758 8.624
Rb 5.405 7.087 9.689
Rb 5.478 12.378 2.648
Rb 5.834 3.228 1.056
Rb 5.917 3.813 7.443
Rb 6.308 6.613 0.153
Rb 6.613 0.153 6.308
Rb 7.004 10.273 11.939
Rb 7.087 9.689 5.405
Rb 7.443 5.917 3.813
Rb 7.516 0.626 9.693
Rb 8.624 4.297 10.758
Rb 8.966 2.506 3.955
Rb 9.108 0.982 0.543
Rb 9.689 5.405 7.087
Rb 9.693 7.516 0.626
Rb 10.273 11.939 7.004
Rb 10.415 10.415 10.415
Rb 10.758 8.624 4.297
Rb 11.865 12.294 3.232
Rb 11.939 7.004 10.273
Rb 12.294 3.232 11.865
Rb 12.378 2.648 5.478
Rb 12.768 12.768 12.768
Co 1.937 10.984 4.524
Co 2.274 8.734 10.647
Co 4.187 4.187 4.187
Co 4.524 1.937 10.984
Co 8.397 8.397 8.397
Co 8.734 10.647 2.274
Co 10.647 2.274 8.734
Co 10.984 4.524 1.937
S 0.605 12.316 5.855
S 0.812 10.320 10.713
S 1.114 8.880 4.371
S 2.089 11.806 2.420
S 2.208 7.273 9.061
S 2.420 2.089 11.806
S 2.601 4.252 5.648
S 3.860 8.668 12.108
S 4.041 10.832 5.346
S 4.252 5.648 2.601
S 4.371 1.114 8.880
S 5.346 4.041 10.832
S 5.648 2.601 4.252
S 5.855 0.605 12.316
S 7.065 7.065 7.065
S 7.273 9.061 2.208
S 7.575 10.501 8.550
S 8.550 7.575 10.501
S 8.668 12.108 3.860
S 8.880 4.371 1.114
S 9.061 2.208 7.273
S 10.320 10.713 0.812
S 10.501 8.550 7.575
S 10.713 0.812 10.320
S 10.832 5.346 4.041
S 11.806 2.420 2.089
S 12.108 3.860 8.668
S 12.316 5.855 0.605
```

Energy relative to the elements, uncorrected   -19.381 eV per formula unit
Theoretical density   3423 kg/m3
Uncorrected energy   -17.11 eV per atom

***

A PBEsol-optimized structure of HgMoAu2, computed with meta-GGA SCAN.

Geometry as extended XYZ:
```
4
Lattice="-2.123 2.123 3.843 2.123 -2.123 3.843 2.123 2.123 -3.843" Properties=species:S:1:pos:R:3 pbc="T T T"
Hg 0.000 0.000 0.000
Mo 0.000 2.123 1.921
Au 2.123 0.000 1.921
Au 0.000 0.000 3.843
```

Calculated formation energy   0.412 eV per atom
Theoretical density   16547 kg/m3
Uncorrected energy   -59.93 eV per atom

***

A PBEsol-optimized structure of KLi3H, computed with meta-GGA SCAN.

Geometry as extended XYZ:
```
5
Lattice="4.860 0.000 0.000 0.000 4.860 0.000 0.000 0.000 4.860" Properties=species:S:1:pos:R:3 pbc="T T T"
K 0.000 0.000 0.000
Li 0.000 2.430 2.430
Li 2.430 0.000 2.430
Li 2.430 2.430 0.000
H 2.430 2.430 2.430
```

Theoretical density   882 kg/m3
Uncorrected energy   -3.59 eV per atom

***

A PBEsol-optimized structure of SrCaBi2As, computed with meta-GGA SCAN.

Geometry as extended XYZ:
```
5
Lattice="5.725 0.000 0.000 0.000 5.725 0.000 0.000 0.000 5.317" Properties=species:S:1:pos:R:3 pbc="T T T"
Sr 0.000 0.000 0.000
Ca 2.862 2.862 2.658
Bi 0.000 2.862 2.658
Bi 2.862 0.000 2.658
As 2.862 2.862 0.000
```

Calculated formation energy   -0.125 eV per atom
Theoretical density   5914 kg/m3
Uncorrected energy   -41.98 eV per atom

***

A PBEsol-optimized structure of Tm2CoCu, computed with meta-GGA SCAN.

Geometry as extended XYZ:
```
4
Lattice="0.000 3.288 3.288 3.288 0.000 3.288 3.288 3.288 0.000" Properties=species:S:1:pos:R:3 pbc="T T T"
Tm 1.644 1.644 1.644
Tm 4.932 4.932 4.932
Co 0.000 0.000 0.000
Cu 3.288 3.288 3.288
```

Calculated formation energy   -0.279 eV per atom
Theoretical density   10752 kg/m3
Uncorrected energy   -34.32 eV per atom

***

A PBEsol-optimized structure of LaNiBi3, computed with meta-GGA SCAN.

Geometry as extended XYZ:
```
5
Lattice="5.159 0.000 0.000 0.000 5.159 0.000 0.000 0.000 5.159" Properties=species:S:1:pos:R:3 pbc="T T T"
La 0.000 0.000 0.000
Ni 2.579 2.579 2.579
Bi 0.000 2.579 2.579
Bi 2.579 0.000 2.579
Bi 2.579 2.579 0.000
```

Calculated formation energy   -0.243 eV per atom
Theoretical density   9973 kg/m3
Uncorrected energy   -59.25 eV per atom

***

A PBEsol-optimized structure of KAuCl, computed with meta-GGA SCAN.

Geometry as extended XYZ:
```
3
Lattice="-1.669 1.669 6.263 1.669 -1.669 6.263 1.669 1.669 -6.263" Properties=species:S:1:pos:R:3 pbc="T T T"
K 0.000 0.000 0.000
Au 0.000 0.000 3.752
Cl 0.000 0.000 8.123
```

Energy relative to the elements, uncorrected   -1.627 eV per formula unit
Theoretical density   6461 kg/m3
Uncorrected energy   -29.03 eV per atom